*a*
Material: TaPb2Br
Method: DFT, GGA-PBEsol
State: relaxed

The magnetization is 0.238 μB/atom.

The space group is I4/mmm (No. 139) and the conventional cell measures 4.509, 4.509 and 9.287 Å, with angles of 90.00, 90.00 and 90.00 degrees. The inequivalent atoms are Ta at (0.000, 0.000, 0.000), Pb at (0.000, 0.500, 0.250) and Br at (0.000, 0.000, 0.500).

---

*b*
Material: TaPb2Br
Method: DFT, GGA-PBEsol
State: relaxed

The magnetization is 0.082 μB/atom.

The space group is Immm (No. 71) and the conventional cell measures 3.118, 4.730 and 13.800 Å, with angles of 90.00, 90.00 and 90.00 degrees. The inequivalent atoms are Ta at (0.000, 0.000, 0.000), Pb at (0.000, 0.500, 0.310) and Br at (0.000, 0.000, 0.500).

---

Computed stability ranking, most favorable first: *b*, *a*